w | Below is PaBMo after structural relaxation, with properties calculated at the PBE level.

a b c (Å): 4.185 4.185 4.185
angles (deg): 60.00 60.00 60.00
Sites, in units of the cell vectors:
B 0.000 0.000 0.000
Mo 0.250 0.250 0.250
Pa 0.750 0.750 0.750

Values from the calculation:
**Theoretical density**: 10.8 g cm⁻³
**V**: 51.8 Å³/cell
**Magnetization**: 0.00 Bohr magnetons per cell

***

x | Below is PaBMo after structural relaxation, with properties calculated at the PBE level.

a b c (Å): 4.289 4.289 4.289
angles (deg): 60.00 60.00 60.00
Sites, in units of the cell vectors:
B 0.500 0.500 0.500
Mo 0.000 0.000 0.000
Pa 0.250 0.250 0.250

Values from the calculation:
**Theoretical density**: 10.1 g cm⁻³
**V**: 55.8 Å³/cell
**Magnetization**: 0.00 Bohr magnetons per cell

***

Result of the stability comparison: w is the most stable of them.

***

w | Below is PrBMo after structural relaxation, with properties calculated at the PBE level.

a b c (Å): 4.281 4.281 4.281
angles (deg): 60.00 60.00 60.00
Site moments in Bohr magnetons follow the coordinates.
Sites, in units of the cell vectors:
B 0.000 0.000 0.000  -0.03
Mo 0.250 0.250 0.250  0.54
Pr 0.750 0.750 0.750  -0.01

Values from the calculation:
**Theoretical density**: 7.4 g cm⁻³
**V**: 55.5 Å³/cell
**Magnetization**: 0.53 Bohr magnetons per cell

***

x | Below is PrBMo after structural relaxation, with properties calculated at the PBE level.

a b c (Å): 4.595 4.595 4.595
angles (deg): 60.00 60.00 60.00
Sites, in units of the cell vectors:
B 0.250 0.250 0.250
Mo 0.750 0.750 0.750
Pr 0.000 0.000 0.000

Values from the calculation:
**Theoretical density**: 6.0 g cm⁻³
**V**: 68.6 Å³/cell
**Magnetization**: 3.06 Bohr magnetons per cell

***

Result of the stability comparison: w is the most stable of them.

***

w | Below is PuBMo after structural relaxation, with properties calculated at the PBE level.

a b c (Å): 4.030 4.030 4.030
angles (deg): 60.00 60.00 60.00
Site moments in Bohr magnetons follow the coordinates.
Sites, in units of the cell vectors:
B 0.000 0.000 0.000  0.01
Mo 0.250 0.250 0.250  -0.53
Pu 0.750 0.750 0.750  4.34

Values from the calculation:
**Theoretical density**: 12.6 g cm⁻³
**V**: 46.3 Å³/cell
**Magnetization**: 3.98 Bohr magnetons per cell

***

x | Below is PuBMo after structural relaxation, with properties calculated at the PBE level.

a b c (Å): 4.132 4.132 4.132
angles (deg): 60.00 60.00 60.00
Site moments in Bohr magnetons follow the coordinates.
Sites, in units of the cell vectors:
B 0.250 0.250 0.250  0.04
Mo 0.750 0.750 0.750  -0.57
Pu 0.000 0.000 0.000  3.87

Values from the calculation:
**Theoretical density**: 11.7 g cm⁻³
**V**: 49.9 Å³/cell
**Magnetization**: 3.32 Bohr magnetons per cell

***

Result of the stability comparison: w is the most stable of them.

***

w | Below is ReB4Mo after structural relaxation, with properties calculated at the PBE level.

a b c (Å): 4.536 4.536 4.536
angles (deg): 141.55 110.61 82.23
Sites, in units of the cell vectors:
B 0.582 0.249 0.333
B 0.084 0.751 0.333
B 0.916 0.249 0.667
B 0.418 0.751 0.667
Mo 0.500 0.500 0.000
Re 0.000 0.000 0.000

Values from the calculation:
**Theoretical density**: 10.2 g cm⁻³
**V**: 52.7 Å³/cell
**Magnetization**: 0.02 Bohr magnetons per cell

***

x | Below is ReB4Mo after structural relaxation, with properties calculated at the PBE level.

a b c (Å): 2.983 2.983 6.843
angles (deg): 90.00 90.00 120.00
Sites, in units of the cell vectors:
B 0.667 0.333 0.250
B 0.333 0.667 0.250
B 0.667 0.333 0.750
B 0.333 0.667 0.750
Mo 0.000 0.000 0.000
Re 0.000 0.000 0.500

Values from the calculation:
**Theoretical density**: 10.2 g cm⁻³
**V**: 52.7 Å³/cell
**Magnetization**: 0.01 Bohr magnetons per cell

***

Result of the stability comparison: w is the most stable of them.